Entry 1:
# PBE BeTcAs2, relaxed
# - M_tot (μB per formula unit) = 0.0
# - DFT formation energy (eV per atom) = -0.01
# - total DFT energy (no corrections) (eV/atom) = -5.8595
data_BeTcAs2
_symmetry_space_group_name_H-M 'P 4 m m'
_symmetry_Int_Tables_number 99
_cell_length_a 3.093
_cell_length_b 3.093
_cell_length_c 6.888
_cell_angle_alpha 90.00
_cell_angle_beta 90.00
_cell_angle_gamma 90.00
loop_
_symmetry_equiv_pos_as_xyz
'x,y,z'
'-y,x,z'
'-x,-y,z'
'y,-x,z'
'-x,y,z'
'y,x,z'
'x,-y,z'
'-y,-x,z'
loop_
_atom_site_label
_atom_site_fract_x
_atom_site_fract_y
_atom_site_fract_z
Be1 0.000 0.000 0.000
Tc1 0.500 0.500 0.166
As1 0.000 0.000 0.360
As2 0.500 0.500 0.796

Entry 2:
# PBE BeTcAs2, relaxed
# - M_tot (μB per formula unit) = 0.0
# - DFT formation energy (eV per atom) = 0.55
# - total DFT energy (no corrections) (eV/atom) = -5.2988
data_BeTcAs2
_symmetry_space_group_name_H-M 'F -4 3 m'
_symmetry_Int_Tables_number 216
_symmetry_space_group_name_Hall 'F -4 2 3'
_cell_length_a 6.154
_cell_length_b 6.154
_cell_length_c 6.154
_cell_angle_alpha 90.00
_cell_angle_beta 90.00
_cell_angle_gamma 90.00
loop_
_atom_site_label
_atom_site_fract_x
_atom_site_fract_y
_atom_site_fract_z
Be1 0.000 0.000 0.000
Tc1 0.250 0.250 0.250
As1 0.000 0.000 0.500
As2 0.250 0.250 0.750